Entry 1:
4
Lattice="4.597 0.000 0.000 -2.298 3.981 0.000 0.000 0.000 6.804" Properties=species:S:1:pos:R:3 comment="SmSb (PBE, relaxed)" total_magnetization_mub_per_cell=0.0 space_group="P6_3/mmc (194)" vol_a3_per_cell=124.5 polymorph_energy_mev_per_atom=118.7 pbc="T T T"
Sb 0.000 0.000 0.000
Sb 0.000 0.000 3.402
Sm 0.000 2.654 1.701
Sm 2.298 1.327 5.103

Entry 2:
9
Lattice="6.050 0.000 0.000 -3.025 5.239 0.000 0.000 0.000 7.698" Properties=species:S:1:pos:R:3 comment="NaHf3Sn5 (PBE, relaxed)" total_magnetization_mub_per_cell=0.0 space_group="P6/mmm (191)" vol_a3_per_cell=244.0 dft_energy_ev_per_atom=-5.81 pbc="T T T"
Hf 3.025 0.000 3.849
Hf -1.512 2.620 3.849
Hf 1.512 2.620 3.849
Na 0.000 0.000 0.000
Sn 3.025 1.746 1.413
Sn 0.000 3.493 1.413
Sn 0.000 0.000 3.849
Sn 3.025 1.746 6.285
Sn 0.000 3.493 6.285

Entry 3:
12
Lattice="2.002 -8.049 0.000 2.002 8.049 0.000 0.000 0.000 9.958" Properties=species:S:1:pos:R:3 comment="CsAgWSe2S (PBE, relaxed)" total_magnetization_mub_per_cell=4.0 space_group="Cmcm (63)" vol_a3_per_cell=320.9 dft_energy_ev_per_atom=-4.92 pbc="T T T"
Ag 2.002 -7.401 2.489
Ag 2.002 7.401 7.468
Cs 2.002 3.972 2.489
Cs 2.002 -3.972 7.468
S 2.002 -0.870 2.489
S 2.002 0.870 7.468
Se 2.002 -6.307 0.200
Se 2.002 -6.307 4.778
Se 2.002 6.307 5.179
Se 2.002 6.307 9.757
W 2.002 0.000 0.000
W 2.002 0.000 4.979

Entry 4:
11
Lattice="-1.319 0.736 -4.488 -3.065 -3.596 0.312 -8.840 7.872 3.890" Properties=species:S:1:pos:R:3 comment="La2In8Ir (PBE, relaxed)" total_magnetization_mub_per_cell=0.0 space_group="P4/mmm (123)" vol_a3_per_cell=279.4 dft_energy_ev_per_atom=-4.13 pbc="T T T"
In -1.716 1.309 -1.779
In -2.589 -0.857 0.621
In -4.900 0.981 -0.897
In -5.080 4.304 -0.299
In -5.953 2.138 2.101
In -8.325 4.031 0.610
In -8.443 7.299 1.181
In -9.316 5.133 3.580
Ir 0.000 0.000 0.000
La -2.704 2.408 1.190
La -6.136 5.465 2.700